1.
A plane-wave DFT calculation with PBE-GGA was carried out for K2NbTeAu after structural relaxation.

extended XYZ file:
```
5
Lattice="5.909 0.000 0.000 0.000 5.909 0.000 0.000 0.000 5.358" Properties=species:S:1:pos:R:3 pbc="T T T"
K 0.000 2.955 0.000
K 2.955 0.000 0.000
Nb 0.000 0.000 2.679
Te 2.955 2.955 2.679
Au 0.000 0.000 0.000
```

## Properties
N(E_F): 3.36 states/eV/f.u.
Energy relative to the elements, uncorrected: 0.43 eV per atom
SG: P4/mmm, No. 123
Total magnetic moment: 0.698 μB/atom

***

2.
A plane-wave DFT calculation with PBE-GGA was carried out for KYNb2Au after structural relaxation.

extended XYZ file:
```
5
Lattice="5.119 0.000 0.000 0.000 5.119 0.000 0.000 0.000 5.674" Properties=species:S:1:pos:R:3 pbc="T T T"
K 0.000 0.000 0.000
Y 2.560 2.560 2.837
Nb 0.000 2.560 2.837
Nb 2.560 0.000 2.837
Au 2.560 2.560 0.000
```

## Properties
N(E_F): 5.67 states/eV/f.u.
SG: P4/mmm, No. 123
Total magnetic moment: 0.000 μB/atom
Formation energy: 1528 meV/atom

***

3.
A plane-wave DFT calculation with PBE-GGA was carried out for KNdAu2 after structural relaxation.

extended XYZ file:
```
12
Lattice="4.296 0.000 0.000 -2.148 3.720 0.000 0.000 0.000 24.531" Properties=species:S:1:pos:R:3 pbc="T T T"
K 0.000 0.000 0.000
K 0.000 2.480 16.354
K 2.148 1.240 8.177
Nd 0.000 0.000 12.266
Nd 0.000 2.480 4.089
Nd 2.148 1.240 20.443
Au 0.000 0.000 5.795
Au 0.000 0.000 18.736
Au 0.000 2.480 10.559
Au 0.000 2.480 22.150
Au 2.148 1.240 2.382
Au 2.148 1.240 13.972
```

## Properties
N(E_F): 2.32 states/eV/f.u.
SG: R-3m, No. 166
Total magnetic moment: 0.000 μB/atom
Formation energy: -438 meV/atom
Polymorph energy (0 for the lowest one): 49 kJ/mol of formula units